## TaAlAs (GGA-PBEsol)

Data for TaAlAs after structural relaxation.

Cell lengths 6.658, 6.658, 6.658 Å; angles 155.11, 155.11, 35.49 degrees
Positions (direct):
Ta 0.000 0.000 0.000
Al 0.655 0.655 0.000
As 0.344 0.344 0.000

Summary:
* DFT total energy: -7.211 eV per atom
* ρ: 8.99 g cm⁻³

---

## AlTc2As (GGA-PBEsol)

Data for AlTc2As after structural relaxation.

Cell lengths 5.681, 5.681, 5.681 Å; angles 101.42, 101.42, 127.15 degrees
Positions (direct):
Al 0.000 0.000 0.000
Al 0.750 0.250 0.500
Tc 0.188 0.625 0.063
Tc 0.375 0.438 0.563
Tc 0.562 0.125 0.937
Tc 0.875 0.812 0.437
As 0.250 0.750 0.500
As 0.500 0.500 0.000

Summary:
* E above lowest polymorph: 0.5867 eV per atom
* DFT total energy: -7.469 eV per atom
* ρ: 7.56 g cm⁻³

---

## Al3TcAs (GGA-PBEsol)

Data for Al3TcAs after structural relaxation.

Cell lengths 4.675, 4.675, 4.675 Å; angles 90.00, 90.00, 90.00 degrees
Positions (direct):
Al 0.000 0.000 0.500
Al 0.000 0.500 0.000
Al 0.500 0.000 0.000
Tc 0.500 0.500 0.500
As 0.000 0.000 0.000

Summary:
* DFT total energy: -4.497 eV per atom
* ρ: 4.13 g cm⁻³

---

## AlTcAs (GGA-PBEsol)

Data for AlTcAs after structural relaxation.

Cell lengths 4.144, 4.144, 3.140 Å; angles 90.00, 90.00, 120.00 degrees
Positions (direct):
Al 0.000 0.000 0.000
Tc 0.667 0.333 0.500
As 0.333 0.667 0.500

Summary:
* DFT total energy: -6.810 eV per atom
* ρ: 7.11 g cm⁻³

---

## AlTcAs2 (GGA-PBEsol)

Data for AlTcAs2 after structural relaxation.

Cell lengths 5.016, 5.016, 5.016 Å; angles 142.11, 125.98, 67.87 degrees
Positions (direct):
Al 0.000 0.000 0.000
Tc 0.736 0.236 0.500
As 0.243 0.743 0.500
As 0.500 0.500 0.000

Summary:
* DFT total energy: -6.281 eV per atom
* ρ: 7.39 g cm⁻³

---

## AlTc2As (GGA-PBEsol)

Data for AlTc2As after structural relaxation.

Cell lengths 8.318, 8.318, 8.318 Å; angles 20.07, 20.07, 20.07 degrees
Positions (direct):
Al 0.000 0.000 0.000
Tc 0.498 0.498 0.498
Tc 0.748 0.748 0.748
As 0.242 0.242 0.242

Summary:
* E above lowest polymorph: 0.0554 eV per atom
* DFT total energy: -8.000 eV per atom
* ρ: 8.35 g cm⁻³

---

## AlTc2As (GGA-PBEsol)

Data for AlTc2As after structural relaxation.

Cell lengths 2.955, 4.389, 4.376 Å; angles 90.00, 90.00, 90.00 degrees
Positions (direct):
Al 0.000 0.000 0.000
Tc 0.000 0.500 0.313
Tc 0.500 0.000 0.511
As 0.500 0.500 0.835

Summary:
* E above lowest polymorph: 0.0000 eV per atom
* DFT total energy: -8.056 eV per atom
* ρ: 8.71 g cm⁻³

---

## AlTcAs2 (GGA-PBEsol)

Data for AlTcAs2 after structural relaxation.

Cell lengths 4.202, 4.857, 4.857 Å; angles 39.78, 90.00, 90.00 degrees
Positions (direct):
Al 0.000 0.000 0.000
Tc 0.500 0.161 0.161
As 0.000 0.731 0.731
As 0.500 0.444 0.444

Summary:
* DFT total energy: -6.490 eV per atom
* ρ: 7.19 g cm⁻³

---

## AlTc2As (GGA-PBEsol)

Data for AlTc2As after structural relaxation.

Cell lengths 4.903, 4.903, 2.862 Å; angles 105.07, 105.07, 109.29 degrees
Positions (direct):
Al 0.000 0.000 0.000
Tc 0.000 0.500 0.500
Tc 0.500 0.000 0.500
As 0.500 0.500 0.000

Summary:
* E above lowest polymorph: 0.1710 eV per atom
* DFT total energy: -7.885 eV per atom
* ρ: 8.53 g cm⁻³

---

## AlTcAs2 (GGA-PBEsol)

Data for AlTcAs2 after structural relaxation.

Cell lengths 7.530, 7.530, 7.530 Å; angles 24.62, 24.62, 24.62 degrees
Positions (direct):
Al 0.000 0.000 0.000
Tc 0.500 0.500 0.500
As 0.245 0.245 0.245
As 0.755 0.755 0.755

Summary:
* DFT total energy: -6.414 eV per atom
* ρ: 7.00 g cm⁻³

---

## AlTe2As (GGA-PBEsol)

Data for AlTe2As after structural relaxation.

Cell lengths 3.058, 3.058, 10.617 Å; angles 90.00, 90.00, 104.41 degrees
Positions (direct):
Al 0.000 0.000 0.000
Te 0.000 0.000 0.461
Te 0.500 0.500 0.777
As 0.500 0.500 0.167

Summary:
* formation energy from raw total energies: 0.1831 eV/atom
* DFT total energy: -3.879 eV per atom
* ρ: 6.16 g cm⁻³

---

## AlTeAs (GGA-PBEsol)

Data for AlTeAs after structural relaxation.

Cell lengths 3.383, 3.383, 7.089 Å; angles 90.00, 90.00, 120.00 degrees
Positions (direct):
Al 0.000 0.000 0.000
Te 0.333 0.667 0.287
As 0.667 0.333 0.763

Summary:
* formation energy from raw total energies: 0.0235 eV/atom
* DFT total energy: -4.218 eV per atom
* ρ: 5.42 g cm⁻³

---

In Å³ per cell, the volume values for the records above are, in order, 52.23; 130.85; 102.16; 46.70; 61.75; 59.27; 56.77; 63.43; 58.01; 65.19; 96.19; 70.27.